Entry 1:
11
Lattice="9.1036 -2.9368 0.0000 9.1036 2.9368 0.0000 -2.8055 0.0000 6.6735" Properties=species:S:1:pos:R:3 comment="PBE Pr5YTl5, relaxed" mass_density_g_cm3=8.45 magnetic_moment_mub_per_fu=0.6 space_group="C2/m (12)" formation_energy_mev_per_atom=-176.3 pbc="T T T"
Pr 0.0000 0.0000 0.0000
Pr 4.7966 0.0000 2.0374
Pr 4.1766 0.0000 5.6977
Pr 11.2251 0.0000 0.9758
Pr 10.6051 0.0000 4.6361
Y -1.4028 0.0000 3.3368
Tl 1.7132 0.0000 2.9102
Tl 0.4449 0.0000 5.9139
Tl 7.7009 0.0000 3.3368
Tl 14.9569 0.0000 0.7597
Tl 13.6885 0.0000 3.7634

Entry 2:
12
Lattice="3.1320 -5.4372 0.0000 3.1320 5.4372 0.0000 -2.1084 0.0000 11.6461" Properties=species:S:1:pos:R:3 comment="PBE Pr3Y2Tl, relaxed" mass_density_g_cm3=6.74 magnetic_moment_mub_per_fu=0.0 space_group="C2/m (12)" formation_energy_mev_per_atom=-34.1 pbc="T T T"
Pr -0.0253 1.8451 8.7771
Pr 1.0007 0.0000 2.8717
Pr -0.0253 -1.8451 8.7771
Pr 4.1809 1.8451 2.8690
Pr 3.1548 0.0000 8.7743
Pr 4.1809 -1.8451 2.8690
Y -1.0542 0.0000 5.8230
Y 2.0778 1.7874 5.8230
Y 3.1320 0.0000 0.0000
Y 2.0778 -1.7874 5.8230
Tl 3.1320 3.6290 0.0000
Tl 3.1320 -3.6290 0.0000

Entry 3:
12
Lattice="4.7803 -8.3071 0.0000 4.7803 8.3071 0.0000 -3.2011 0.0000 4.5174" Properties=species:S:1:pos:R:3 comment="PBE Pr5YTl6, relaxed" mass_density_g_cm3=9.35 magnetic_moment_mub_per_fu=0.0 space_group="C2/m (12)" formation_energy_mev_per_atom=-389.6 pbc="T T T"
Pr 0.0000 0.0000 0.0000
Pr 3.1798 5.5697 2.2587
Pr 4.7803 2.8490 0.0000
Pr 4.7803 -2.8490 0.0000
Pr 3.1798 -5.5697 2.2587
Y 3.1798 0.0000 2.2587
Tl 1.6300 2.7098 1.1593
Tl 0.0658 0.0000 3.4425
Tl 1.6300 -2.7098 1.1593
Tl 4.7296 2.7098 3.3582
Tl 6.2937 0.0000 1.0749
Tl 4.7296 -2.7098 3.3582

Entry 4:
4
Lattice="4.9637 0.0000 0.0000 0.0000 4.9637 0.0000 0.0000 0.0000 4.8650" Properties=species:S:1:pos:R:3 comment="PBE PrY2Tl, relaxed" mass_density_g_cm3=7.25 relative_energy_ev_per_fu=0.000 magnetic_moment_mub_per_fu=0.7 space_group="P4/mmm (123)" formation_energy_mev_per_atom=-195.0 pbc="T T T"
Pr 0.0000 0.0000 0.0000
Y 0.0000 2.4818 2.4325
Y 2.4818 0.0000 2.4325
Tl 2.4818 2.4818 0.0000

Entry 5:
4
Lattice="1.8476 1.0667 10.8356 -1.8476 1.0667 10.8356 0.0000 -2.1334 10.8356" Properties=species:S:1:pos:R:3 comment="PBE PrY2Tl, relaxed" mass_density_g_cm3=6.78 relative_energy_ev_per_fu=0.300 magnetic_moment_mub_per_fu=0.0 space_group="R3m (160)" formation_energy_mev_per_atom=-120.1 pbc="T T T"
Pr 0.0000 0.0000 0.0000
Y 0.0000 0.0000 7.8698
Y 0.0000 0.0000 13.7941
Tl 0.0000 0.0000 27.0898

Entry 6:
8
Lattice="6.9291 0.0000 0.0000 0.0000 5.4109 0.0000 -1.5805 0.0000 6.8295" Properties=species:S:1:pos:R:3 comment="PBE Pr2YTl, relaxed" mass_density_g_cm3=7.46 relative_energy_ev_per_fu=0.083 magnetic_moment_mub_per_fu=0.0 space_group="P2_1/m (11)" formation_energy_mev_per_atom=-184.2 pbc="T T T"
Pr 0.1015 1.3527 2.7369
Pr -0.3148 1.3527 6.3074
Pr 5.6635 4.0581 0.5221
Pr 5.2472 4.0581 4.0926
Y 2.2482 4.0581 1.7181
Y 3.1004 1.3527 5.1114
Tl 1.4963 4.0581 5.0071
Tl 3.8524 1.3527 1.8225

Entry 7:
8
Lattice="3.8737 0.0000 0.0000 0.0000 3.8737 0.0000 0.0000 0.0000 15.8112" Properties=species:S:1:pos:R:3 comment="PBE Pr3YTl4, relaxed" mass_density_g_cm3=9.30 relative_energy_ev_per_fu=0.000 magnetic_moment_mub_per_fu=0.0 space_group="P4/mmm (123)" formation_energy_mev_per_atom=-395.9 pbc="T T T"
Pr 0.0000 0.0000 0.0000
Pr 0.0000 0.0000 4.0478
Pr 0.0000 0.0000 11.7634
Y 0.0000 0.0000 7.9056
Tl 1.9369 1.9369 2.0275
Tl 1.9369 1.9369 6.0880
Tl 1.9369 1.9369 9.7233
Tl 1.9369 1.9369 13.7837

Entry 8:
16
Lattice="5.0442 0.0000 0.0000 0.0000 5.0442 0.0000 0.0000 0.0000 20.6005" Properties=species:S:1:pos:R:3 comment="PBE Pr12YTl3, relaxed" mass_density_g_cm3=7.58 magnetic_moment_mub_per_fu=0.0 space_group="P4/mmm (123)" formation_energy_mev_per_atom=-148.2 pbc="T T T"
Pr 0.0000 0.0000 0.0000
Pr 0.0000 0.0000 5.0552
Pr 0.0000 0.0000 10.3002
Pr 0.0000 0.0000 15.5453
Pr 0.0000 2.5221 2.5283
Pr 0.0000 2.5221 7.6018
Pr 0.0000 2.5221 12.9987
Pr 0.0000 2.5221 18.0722
Pr 2.5221 0.0000 2.5283
Pr 2.5221 0.0000 7.6018
Pr 2.5221 0.0000 12.9987
Pr 2.5221 0.0000 18.0722
Y 2.5221 2.5221 10.3002
Tl 2.5221 2.5221 0.0000
Tl 2.5221 2.5221 5.0158
Tl 2.5221 2.5221 15.5847

Entry 9:
4
Lattice="3.6770 0.0000 0.0000 0.0000 3.6770 0.0000 0.0000 0.0000 9.1777" Properties=species:S:1:pos:R:3 comment="PBE PrY2Tl, relaxed" mass_density_g_cm3=7.00 relative_energy_ev_per_fu=0.001 magnetic_moment_mub_per_fu=0.0 space_group="P4/mmm (123)" formation_energy_mev_per_atom=-194.6 pbc="T T T"
Pr 0.0000 0.0000 0.0000
Y 1.8385 1.8385 2.5600
Y 1.8385 1.8385 6.6176
Tl 0.0000 0.0000 4.5888

Entry 10:
10
Lattice="5.8454 0.0000 0.0000 0.0000 3.8802 0.0000 -1.4691 0.0000 13.8042" Properties=species:S:1:pos:R:3 comment="PBE PrY2Tl2, relaxed" mass_density_g_cm3=7.72 relative_energy_ev_per_fu=0.590 magnetic_moment_mub_per_fu=0.7 space_group="P2_1/m (11)" formation_energy_mev_per_atom=-184.0 pbc="T T T"
Pr 0.7738 0.9700 3.4634
Pr 3.6024 2.9101 10.3408
Y 0.7259 2.9101 6.4976
Y 0.5694 0.9700 12.2554
Y 3.8069 2.9101 1.5488
Y 3.6504 0.9700 7.3066
Tl 0.9728 2.9101 0.7349
Tl 0.7057 0.9700 9.1320
Tl 3.6705 2.9101 4.6722
Tl 3.4035 0.9700 13.0693

Entry 11:
18
Lattice="9.4449 0.0000 0.0000 -4.7224 8.1795 0.0000 0.0000 0.0000 6.7764" Properties=species:S:1:pos:R:3 comment="PBE PrY5Tl3, relaxed" mass_density_g_cm3=7.60 magnetic_moment_mub_per_fu=0.8 space_group="P6_3/mcm (193)" formation_energy_mev_per_atom=-294.9 pbc="T T T"
Pr 0.0000 0.0000 0.0000
Pr 0.0000 0.0000 3.3882
Y -1.5507 2.6859 1.6941
Y -3.1717 5.4936 5.0823
Y 3.1014 0.0000 1.6941
Y 1.5507 2.6859 5.0823
Y 0.0000 5.4530 0.0000
Y 0.0000 5.4530 3.3882
Y 4.7224 2.7265 0.0000
Y 4.7224 2.7265 3.3882
Y 6.3435 0.0000 5.0823
Y 3.1717 5.4936 1.6941
Tl -1.6151 2.7975 5.0823
Tl -3.1073 5.3820 1.6941
Tl 3.2303 0.0000 5.0823
Tl 1.6151 2.7975 1.6941
Tl 6.2146 0.0000 1.6941
Tl 3.1073 5.3820 5.0823

Entry 12:
10
Lattice="3.6673 0.0000 0.0000 0.0000 3.6673 0.0000 0.0000 0.0000 24.5193" Properties=species:S:1:pos:R:3 comment="PBE Pr4Y5Tl, relaxed" mass_density_g_cm3=6.11 relative_energy_ev_per_fu=0.000 magnetic_moment_mub_per_fu=0.0 space_group="P4/mmm (123)" formation_energy_mev_per_atom=-69.4 pbc="T T T"
Pr 0.0000 0.0000 2.5423
Pr 0.0000 0.0000 7.6729
Pr 0.0000 0.0000 16.8464
Pr 0.0000 0.0000 21.9770
Y 1.8337 1.8337 0.0000
Y 1.8337 1.8337 5.0826
Y 1.8337 1.8337 10.2089
Y 1.8337 1.8337 14.3104
Y 1.8337 1.8337 19.4367
Tl 0.0000 0.0000 12.2596

Entry 13:
11
Lattice="9.2923 -3.4386 0.0000 9.2923 3.4386 0.0000 -0.2531 0.0000 5.7913" Properties=species:S:1:pos:R:3 comment="PBE Pr2Y8Tl, relaxed" mass_density_g_cm3=5.37 relative_energy_ev_per_fu=1.187 magnetic_moment_mub_per_fu=0.0 space_group="C2/m (12)" formation_energy_mev_per_atom=72.6 pbc="T T T"
Pr 4.0490 0.0000 1.4991
Pr 14.2826 0.0000 4.2921
Y 0.9000 0.0000 1.3376
Y 6.9756 1.7817 1.4957
Y 5.9420 0.0000 4.4611
Y 11.3560 1.7817 4.2955
Y 6.9756 -1.7817 1.4957
Y 12.3895 0.0000 1.3301
Y 11.3560 -1.7817 4.2955
Y 17.4316 0.0000 4.4537
Tl 9.2923 0.0000 0.0000

Entry 14:
9
Lattice="5.4222 0.0000 0.0000 -2.7111 4.6957 0.0000 0.0000 0.0000 10.6081" Properties=species:S:1:pos:R:3 comment="PBE Pr3Y2Tl4, relaxed" mass_density_g_cm3=8.72 relative_energy_ev_per_fu=0.000 magnetic_moment_mub_per_fu=0.0 space_group="P-3m1 (164)" formation_energy_mev_per_atom=-321.3 pbc="T T T"
Pr 0.0000 0.0000 0.0000
Pr 0.0000 3.1305 6.1494
Pr 2.7111 1.5652 4.4587
Y 0.0000 3.1305 2.3322
Y 2.7111 1.5652 8.2759
Tl 0.0000 0.0000 3.6338
Tl 0.0000 0.0000 6.9743
Tl 0.0000 3.1305 9.5302
Tl 2.7111 1.5652 1.0779

Entry 15:
8
Lattice="2.3156 -6.3428 0.0000 2.3156 6.3428 0.0000 0.0000 0.0000 8.8463" Properties=species:S:1:pos:R:3 comment="PBE PrY2Tl, relaxed" mass_density_g_cm3=6.69 relative_energy_ev_per_fu=0.253 magnetic_moment_mub_per_fu=0.0 space_group="Cmcm (63)" formation_energy_mev_per_atom=-131.8 pbc="T T T"
Pr 2.3156 5.6047 6.6347
Pr 2.3156 -5.6047 2.2116
Y 2.3156 1.7329 4.8754
Y 2.3156 1.7329 8.3940
Y 2.3156 -1.7329 0.4522
Y 2.3156 -1.7329 3.9709
Tl 2.3156 3.3820 2.2116
Tl 2.3156 -3.3820 6.6347

Entry 16:
20
Lattice="8.4963 0.0000 0.0000 0.0000 9.3600 0.0000 0.0000 0.0000 8.8528" Properties=species:S:1:pos:R:3 comment="PBE Pr5YTl4, relaxed" mass_density_g_cm3=7.60 magnetic_moment_mub_per_fu=0.0 space_group="Pmmn (59)" formation_energy_mev_per_atom=-53.8 pbc="T T T"
Pr 0.0837 0.5333 2.0658
Pr 0.0837 4.1467 2.0658
Pr 2.1241 7.0200 1.5141
Pr 4.1644 0.5333 2.0658
Pr 4.1644 4.1467 2.0658
Pr 4.3319 5.2133 6.7870
Pr 4.3319 8.8267 6.7870
Pr 6.3722 2.3400 7.3386
Pr 8.4126 5.2133 6.7870
Pr 8.4126 8.8267 6.7870
Y 2.1241 2.3400 5.1792
Y 6.3722 7.0200 3.6736
Tl 0.7137 2.3400 8.2715
Tl 2.1241 5.4642 4.4222
Tl 2.1241 8.5758 4.4222
Tl 3.5345 2.3400 8.2715
Tl 4.9618 7.0200 0.5813
Tl 6.3722 0.7842 4.4305
Tl 6.3722 3.8958 4.4305
Tl 7.7826 7.0200 0.5813

Entry 17:
10
Lattice="4.2344 0.0000 0.0000 0.0000 4.2344 0.0000 0.0000 0.0000 18.6126" Properties=species:S:1:pos:R:3 comment="PBE Pr5Y4Tl, relaxed" mass_density_g_cm3=6.29 magnetic_moment_mub_per_fu=0.0 space_group="P4/mmm (123)" formation_energy_mev_per_atom=-0.4 pbc="T T T"
Pr 0.0000 0.0000 0.0000
Pr 0.0000 0.0000 3.8346
Pr 0.0000 0.0000 7.6352
Pr 0.0000 0.0000 10.9774
Pr 0.0000 0.0000 14.7779
Y 2.1172 2.1172 1.9155
Y 2.1172 2.1172 5.7236
Y 2.1172 2.1172 12.8890
Y 2.1172 2.1172 16.6971
Tl 2.1172 2.1172 9.3063

Entry 18:
19
Lattice="7.8438 -4.7254 0.0000 7.8438 4.7254 0.0000 -0.5617 0.0000 8.7679" Properties=species:S:1:pos:R:3 comment="PBE Pr12Y5Tl2, relaxed" mass_density_g_cm3=6.50 magnetic_moment_mub_per_fu=0.0 space_group="C2/m (12)" formation_energy_mev_per_atom=4.4 pbc="T T T"
Pr 0.7009 0.0000 2.8203
Pr 5.7019 2.8795 2.9842
Pr 5.0712 1.7507 6.7075
Pr 9.4239 2.8795 5.7836
Pr 6.4716 0.0000 0.9959
Pr 10.0546 1.7507 2.0604
Pr 5.0712 -1.7507 6.7075
Pr 8.6542 0.0000 7.7720
Pr 5.7019 -2.8795 2.9842
Pr 10.0546 -1.7507 2.0604
Pr 9.4239 -2.8795 5.7836
Pr 14.4250 0.0000 5.9476
Y 2.9053 0.0000 0.0702
Y 3.9585 0.0000 3.6433
Y 7.5629 0.0000 4.3839
Y 11.1674 0.0000 5.1246
Y 12.2205 0.0000 8.6977
Tl 7.8438 3.0329 0.0000
Tl 7.8438 -3.0329 0.0000

Entry 19:
8
Lattice="4.8172 0.0000 0.0000 0.0000 4.8172 0.0000 0.0000 0.0000 9.6212" Properties=species:S:1:pos:R:3 comment="PBE PrYTl6, relaxed" mass_density_g_cm3=10.83 magnetic_moment_mub_per_fu=0.0 space_group="P4/mmm (123)" formation_energy_mev_per_atom=-289.2 pbc="T T T"
Pr 0.0000 0.0000 0.0000
Y 0.0000 0.0000 4.8106
Tl 0.0000 2.4086 2.4463
Tl 0.0000 2.4086 7.1749
Tl 2.4086 0.0000 2.4463
Tl 2.4086 0.0000 7.1749
Tl 2.4086 2.4086 0.0000
Tl 2.4086 2.4086 4.8106

Entry 20:
4
Lattice="3.8590 0.0000 0.0000 0.0000 3.8590 0.0000 0.0000 0.0000 7.7403" Properties=species:S:1:pos:R:3 comment="PBE PrYTl2, relaxed" mass_density_g_cm3=9.20 relative_energy_ev_per_fu=0.000 magnetic_moment_mub_per_fu=0.0 space_group="P4/mmm (123)" formation_energy_mev_per_atom=-394.7 pbc="T T T"
Pr 0.0000 0.0000 0.0000
Y 0.0000 0.0000 3.8702
Tl 1.9295 1.9295 2.0388
Tl 1.9295 1.9295 5.7015

Entry 21:
12
Lattice="-2.5406 5.0824 7.6336 2.5406 -5.0824 7.6336 2.5406 5.0824 -7.6336" Properties=species:S:1:pos:R:3 comment="PBE Pr5Y6Tl, relaxed" mass_density_g_cm3=6.07 magnetic_moment_mub_per_fu=0.0 space_group="Immm (71)" formation_energy_mev_per_atom=-27.9 pbc="T T T"
Pr 0.0000 0.0000 0.0000
Pr 2.5406 0.0000 2.4810
Pr 0.0000 0.0000 5.0414
Pr 0.0000 0.0000 10.2257
Pr 0.0000 5.0824 5.1525
Y 2.5406 -2.4822 5.1275
Y 2.5406 2.6258 0.0000
Y 0.0000 2.6002 2.5061
Y 2.5406 2.4822 5.1275
Y 0.0000 2.4566 7.6336
Y 0.0000 7.5646 2.5061
Tl 0.0000 5.0824 0.0000

Entry 22:
4
Lattice="1.8154 1.0481 11.0440 -1.8154 1.0481 11.0440 0.0000 -2.0963 11.0440" Properties=species:S:1:pos:R:3 comment="PBE PrY2Tl, relaxed" mass_density_g_cm3=6.89 relative_energy_ev_per_fu=0.255 magnetic_moment_mub_per_fu=0.0 space_group="R-3m (166)" formation_energy_mev_per_atom=-131.3 pbc="T T T"
Pr 0.0000 0.0000 0.0000
Y 0.0000 0.0000 8.0936
Y 0.0000 0.0000 25.0383
Tl 0.0000 0.0000 16.5659